Compound: LaSmEr14
Source: the Alexandria database
Functional: GGA-PBE
Structure: relaxed

Values from the calculation:
theoretical density	8.78	g/cm3
formation energy	0.2	eV per formula unit

Geometry as CIF:
```
data_LaSmEr14
_cell_length_a 11.417
_cell_length_b 7.105
_cell_length_c 12.274
_cell_angle_alpha 90.00
_cell_angle_beta 90.00
_cell_angle_gamma 90.00
_symmetry_space_group_name_H-M 'A m m 2'
_symmetry_Int_Tables_number 38
loop_
_symmetry_equiv_pos_as_xyz
'x,y,z'
'-x,-y,z'
'-x,y,z'
'x,-y,z'
'x,y+1/2,z+1/2'
'-x,-y+1/2,z+1/2'
'-x,y+1/2,z+1/2'
'x,-y+1/2,z+1/2'
loop_
_atom_site_label
_atom_site_fract_x
_atom_site_fract_y
_atom_site_fract_z
La1 0.000 0.000 0.000
Sm1 0.000 0.000 0.500
Er1 0.000 0.250 0.250
Er2 0.251 0.000 0.667
Er3 0.253 0.000 0.168
Er4 0.255 0.249 0.417
Er5 0.500 0.000 0.334
Er6 0.500 0.000 0.833
Er7 0.500 0.250 0.084
```


Compound: Sc3Hg2Pb2
Source: the Alexandria database
Functional: GGA-PBE
Structure: relaxed

Values from the calculation:
theoretical density	8.92	g/cm3
formation energy	-2.0	eV per formula unit

Geometry as CIF:
```
data_Sc3Hg2Pb2
_cell_length_a 4.923
_cell_length_b 4.932
_cell_length_c 8.837
_cell_angle_alpha 74.20
_cell_angle_beta 74.08
_cell_angle_gamma 60.37
_symmetry_space_group_name_H-M 'P -1'
_symmetry_Int_Tables_number 2
loop_
_symmetry_equiv_pos_as_xyz
'x,y,z'
'-x,-y,-z'
loop_
_atom_site_label
_atom_site_fract_x
_atom_site_fract_y
_atom_site_fract_z
Sc1 0.000 0.000 0.000
Sc2 0.244 0.246 0.264
Hg1 0.132 0.131 0.609
Pb1 0.383 0.382 0.853
```


Compound: Ba2CaAu2
Source: the Alexandria database
Functional: GGA-PBE
Structure: relaxed

Values from the calculation:
theoretical density	5.55	g/cm3
E above lowest polymorph	0.364	eV/atom
formation energy	-1.3	eV per formula unit

Geometry as CIF:
```
data_Ba2CaAu2
_cell_length_a 5.966
_cell_length_b 5.966
_cell_length_c 11.918
_cell_angle_alpha 90.00
_cell_angle_beta 90.00
_cell_angle_gamma 90.00
_symmetry_space_group_name_H-M 'I 4/m m m'
_symmetry_Int_Tables_number 139
_symmetry_space_group_name_Hall '-I 4 2'
loop_
_atom_site_label
_atom_site_fract_x
_atom_site_fract_y
_atom_site_fract_z
Ba1 0.000 0.000 0.159
Ca1 0.000 0.000 0.500
Au1 0.000 0.500 0.250
```


Compound: NaMn2Sn2
Source: the Alexandria database
Functional: GGA-PBE
Structure: relaxed

Values from the calculation:
theoretical density	6.18	g/cm3
E above lowest polymorph	0.000	eV/atom
formation energy	0.5	eV per formula unit

Geometry as CIF:
```
data_NaMn2Sn2
_cell_length_a 8.070
_cell_length_b 8.070
_cell_length_c 3.053
_cell_angle_alpha 90.00
_cell_angle_beta 90.00
_cell_angle_gamma 90.00
_symmetry_space_group_name_H-M 'P 4/m b m'
_symmetry_Int_Tables_number 127
_symmetry_space_group_name_Hall '-P 4 2ab'
loop_
_atom_site_label
_atom_site_fract_x
_atom_site_fract_y
_atom_site_fract_z
Na1 0.000 0.000 0.000
Mn1 0.119 0.381 0.000
Sn1 0.173 0.673 0.500
```


Compound: Pm5InIr3
Source: the Alexandria database
Functional: GGA-PBE
Structure: relaxed

Values from the calculation:
theoretical density	10.53	g/cm3
formation energy	-3.8	eV per formula unit

Geometry as CIF:
```
data_Pm5InIr3
_cell_length_a 8.7331
_cell_length_b 8.7331
_cell_length_c 6.7643
_cell_angle_alpha 90.00
_cell_angle_beta 90.00
_cell_angle_gamma 120.00
_symmetry_space_group_name_H-M 'P 63/m c m'
_symmetry_Int_Tables_number 193
_symmetry_space_group_name_Hall '-P 6c 2'
loop_
_atom_site_label
_atom_site_fract_x
_atom_site_fract_y
_atom_site_fract_z
Pm1 0.0000 0.3020 0.2500
Pm2 0.3333 0.6667 0.0000
In1 0.0000 0.0000 0.0000
Ir1 0.0000 0.3771 0.7500
```


Compound: Rb3InGa
Source: the Alexandria database
Functional: GGA-PBE
Structure: relaxed

Values from the calculation:
theoretical density	2.30	g/cm3
E above lowest polymorph	0.000	eV/atom
formation energy	1.8	eV per formula unit

Geometry as CIF:
```
data_Rb3InGa
_cell_length_a 6.824
_cell_length_b 6.824
_cell_length_c 6.824
_cell_angle_alpha 90.00
_cell_angle_beta 90.00
_cell_angle_gamma 90.00
_symmetry_space_group_name_H-M 'P m -3 m'
_symmetry_Int_Tables_number 221
_symmetry_space_group_name_Hall '-P 4 2 3'
loop_
_atom_site_label
_atom_site_fract_x
_atom_site_fract_y
_atom_site_fract_z
Rb1 0.000 0.000 0.500
In1 0.500 0.500 0.500
Ga1 0.000 0.000 0.000
```


Compound: TiBi3I
Source: the Alexandria database
Functional: GGA-PBE
Structure: relaxed

Values from the calculation:
theoretical density	6.70	g/cm3
E above lowest polymorph	1.296	eV/atom
raw formation energy	1.369	eV/atom

Geometry as CIF:
```
data_TiBi3I
_cell_length_a 5.835
_cell_length_b 5.835
_cell_length_c 5.835
_cell_angle_alpha 90.00
_cell_angle_beta 90.00
_cell_angle_gamma 90.00
_symmetry_space_group_name_H-M 'P m -3 m'
_symmetry_Int_Tables_number 221
_symmetry_space_group_name_Hall '-P 4 2 3'
loop_
_atom_site_label
_atom_site_fract_x
_atom_site_fract_y
_atom_site_fract_z
Ti1 0.000 0.000 0.000
Bi1 0.000 0.500 0.500
I1 0.500 0.500 0.500
```


Compound: CrFe2BiI
Source: the Alexandria database
Functional: GGA-PBE
Structure: relaxed

Values from the calculation:
theoretical density	8.38	g/cm3
raw formation energy	1.404	eV/atom

Geometry as CIF:
```
data_CrFe2BiI
_cell_length_a 4.483
_cell_length_b 4.483
_cell_length_c 4.924
_cell_angle_alpha 90.00
_cell_angle_beta 90.00
_cell_angle_gamma 90.00
_symmetry_space_group_name_H-M 'P 4/m m m'
_symmetry_Int_Tables_number 123
_symmetry_space_group_name_Hall '-P 4 2'
loop_
_atom_site_label
_atom_site_fract_x
_atom_site_fract_y
_atom_site_fract_z
Cr1 0.000 0.000 0.000
Fe1 0.000 0.500 0.000
Bi1 0.500 0.500 0.500
I1 0.000 0.000 0.500
```


Compound: SmPuMgGa
Source: the Alexandria database
Functional: GGA-PBE
Structure: relaxed

Values from the calculation:
theoretical density	8.00	g/cm3
formation energy	-0.6	eV per formula unit

Geometry as CIF:
```
data_SmPuMgGa
_cell_length_a 7.400
_cell_length_b 7.400
_cell_length_c 7.400
_cell_angle_alpha 90.00
_cell_angle_beta 90.00
_cell_angle_gamma 90.00
_symmetry_space_group_name_H-M 'F -4 3 m'
_symmetry_Int_Tables_number 216
_symmetry_space_group_name_Hall 'F -4 2 3'
loop_
_atom_site_label
_atom_site_fract_x
_atom_site_fract_y
_atom_site_fract_z
Sm1 0.000 0.000 0.000
Pu1 0.000 0.000 0.500
Mg1 0.250 0.250 0.750
Ga1 0.250 0.250 0.250
```


Compound: BaLi3Ru
Source: the Alexandria database
Functional: GGA-PBE
Structure: relaxed

Values from the calculation:
theoretical density	3.61	g/cm3
E above lowest polymorph	0.000	eV/atom
formation energy	2.1	eV per formula unit

Geometry as CIF:
```
data_BaLi3Ru
_cell_length_a 4.920
_cell_length_b 4.920
_cell_length_c 4.920
_cell_angle_alpha 90.00
_cell_angle_beta 90.00
_cell_angle_gamma 90.00
_symmetry_space_group_name_H-M 'P m -3 m'
_symmetry_Int_Tables_number 221
_symmetry_space_group_name_Hall '-P 4 2 3'
loop_
_atom_site_label
_atom_site_fract_x
_atom_site_fract_y
_atom_site_fract_z
Ba1 0.000 0.000 0.000
Li1 0.000 0.500 0.500
Ru1 0.500 0.500 0.500
```


Compound: PtAu2Cl
Source: the Alexandria database
Functional: GGA-PBE
Structure: relaxed

Values from the calculation:
theoretical density	12.34	g/cm3
E above lowest polymorph	0.019	eV/atom
raw formation energy	0.178	eV/atom

Geometry as CIF:
```
data_PtAu2Cl
_cell_length_a 3.888
_cell_length_b 3.046
_cell_length_c 7.092
_cell_angle_alpha 90.00
_cell_angle_beta 90.07
_cell_angle_gamma 90.00
_symmetry_space_group_name_H-M 'P 1 m 1'
_symmetry_Int_Tables_number 6
loop_
_symmetry_equiv_pos_as_xyz
'x,y,z'
'x,-y,z'
loop_
_atom_site_label
_atom_site_fract_x
_atom_site_fract_y
_atom_site_fract_z
Pt1 0.000 0.000 0.000
Au1 0.001 0.000 0.396
Au2 0.500 0.500 0.188
Cl1 0.999 0.500 0.721
```


Compound: Cd2SiHg
Source: the Alexandria database
Functional: GGA-PBE
Structure: relaxed

Values from the calculation:
theoretical density	8.71	g/cm3
E above lowest polymorph	0.049	eV/atom
raw formation energy	0.296	eV/atom

Geometry as CIF:
```
data_Cd2SiHg
_cell_length_a 3.173
_cell_length_b 4.550
_cell_length_c 5.988
_cell_angle_alpha 90.00
_cell_angle_beta 90.00
_cell_angle_gamma 90.00
_symmetry_space_group_name_H-M 'P m m 2'
_symmetry_Int_Tables_number 25
loop_
_symmetry_equiv_pos_as_xyz
'x,y,z'
'-x,-y,z'
'-x,y,z'
'x,-y,z'
loop_
_atom_site_label
_atom_site_fract_x
_atom_site_fract_y
_atom_site_fract_z
Cd1 0.000 0.000 0.000
Cd2 0.500 0.500 0.274
Si1 0.500 0.500 0.785
Hg1 0.000 0.000 0.511
```


| no. | E (eV/atom) |
| --- | --- |
| 1 | -4.5827 |
| 2 | -4.1428 |
| 3 | -2.7394 |
| 4 | -5.4228 |
| 5 | -6.3188 |
| 6 | -1.3822 |
| 7 | -2.8489 |
| 8 | -4.9923 |
| 9 | -6.0646 |
| 10 | -2.9602 |
| 11 | -3.4328 |
| 12 | -1.5931 |